## AcCoPb (PBE-GGA)

Data for a relaxed AcCoPb crystal.

relative energy among the computed polymorphs: 82.5 kJ per mole of atoms
space group: No. 216
total magnetic moment: 0.057 μB per cell
calculated total energy: -4.1440 eV per atom

Lattice parameters (Å, degrees): 5.1833 5.1833 5.1833 60.00 60.00 60.00
Last column: nearest neighbours and their distance in Å.
Fractional coordinates of all 3 atoms:
Ac: 0.0000 0.0000 0.0000  4 Co 3.17, 4 Pb 3.17
Co: 0.7500 0.7500 0.7500  4 Ac 3.17
Pb: 0.2500 0.2500 0.2500  4 Ac 3.17

## AcCoPb (PBE-GGA)

Data for a relaxed AcCoPb crystal.

relative energy among the computed polymorphs: 0.0 kJ per mole of atoms
space group: No. 216
total magnetic moment: 1.402 μB per cell
calculated total energy: -4.9990 eV per atom

Lattice parameters (Å, degrees): 4.8828 4.8828 4.8828 60.00 60.00 60.00
Last column: nearest neighbours and their distance in Å.
Fractional coordinates of all 3 atoms:
Ac: 0.0000 0.0000 0.0000  4 Co 2.99
Co: 0.2500 0.2500 0.2500  4 Pb 2.99, 4 Ac 2.99
Pb: 0.5000 0.5000 0.5000  4 Co 2.99